1.
This record from Alexandria via LeMat-Bulk describes TiBeP after structural relaxation. The functional is PBE-GGA.

Calculated values
ΔE_f ... -0.7086 eV per atom
Raw total energy ... -6.39 eV/atom

```
TiBeP
1.0
-1.7419 1.7419 6.0179
1.7419 -1.7419 6.0179
1.7419 1.7419 -6.0179
Ti Be P
2 2 2
Cartesian
0.0000 0.0000 2.0017
0.0000 0.0000 10.0341
1.7419 0.0000 0.0000
0.0000 1.7419 0.0000
0.0000 0.0000 4.4521
0.0000 0.0000 7.5837
```

2.
This record from Alexandria via LeMat-Bulk describes TiBe2P after structural relaxation. The functional is PBE-GGA.

Calculated values
ΔE_f ... -0.0935 eV per atom
Raw total energy ... -5.28 eV/atom

```
TiBe2P
1.0
-3.2895 3.2895 2.3521
3.2895 -3.2895 2.3521
3.2895 3.2895 -2.3521
Ti Be P
2 4 2
Cartesian
0.0000 0.0000 0.0000
0.0000 3.2895 1.1760
1.6447 -1.2734 1.7641
2.0161 1.6447 0.5880
1.6447 4.5629 -0.5880
1.2734 1.6447 2.9401
3.2895 0.0000 1.1760
0.0000 0.0000 2.3521
```

3.
This record from Alexandria via LeMat-Bulk describes TiBeP after structural relaxation. The functional is PBE-GGA.

Calculated values
ΔE_f ... -0.7061 eV per atom
Raw total energy ... -6.38 eV/atom

```
TiBeP
1.0
4.3360 -1.7382 0.0000
4.3360 1.7382 0.0000
-1.2048 0.0000 4.9721
Ti Be P
2 2 2
Cartesian
0.0000 0.0000 0.0000
4.9279 0.0000 2.7180
2.6818 0.0000 1.1813
7.5611 0.0000 2.3395
2.3757 0.0000 3.3285
6.1511 0.0000 0.3288
```

4.
This record from Alexandria via LeMat-Bulk describes TiBeP after structural relaxation. The functional is PBE-GGA.

Calculated values
ΔE_f ... -0.6085 eV per atom
Raw total energy ... -6.29 eV/atom

```
TiBeP
1.0
4.4177 -1.7466 0.0000
4.4177 1.7466 0.0000
-3.5892 0.0000 4.6820
Ti Be P
2 2 2
Cartesian
-0.6053 0.0000 1.4761
5.8515 0.0000 3.2060
-0.1668 0.0000 4.2617
5.4130 0.0000 0.4203
1.8726 0.0000 1.3223
3.3736 0.0000 3.3598
```

5.
This record from Alexandria via LeMat-Bulk describes TiBeP after structural relaxation. The functional is PBE-GGA.

Calculated values
ΔE_f ... -0.6731 eV per atom
Raw total energy ... -6.35 eV/atom

```
TiBeP
1.0
-1.7223 3.2394 3.2719
1.7223 -3.2394 3.2719
1.7223 3.2394 -3.2719
Ti Be P
2 2 2
Cartesian
0.0000 0.0000 0.0000
0.0000 3.2394 0.6427
1.7223 1.9608 -0.8517
0.0000 1.2787 2.4202
1.7223 1.5167 1.2657
0.0000 1.7227 4.5376
```

6.
This record from Alexandria via LeMat-Bulk describes TiBeP after structural relaxation. The functional is PBE-GGA.

Calculated values
ΔE_f ... -0.6148 eV per atom
Raw total energy ... -6.29 eV/atom

```
TiBeP
1.0
4.4923 -1.7654 0.0000
4.4923 1.7654 0.0000
-2.8038 0.0000 4.9763
Ti Be P
2 2 2
Cartesian
0.0000 0.0000 0.0000
-0.2967 0.0000 3.1943
2.2782 0.0000 3.1823
5.9411 0.0000 2.1354
3.8096 0.0000 1.6201
3.5765 0.0000 4.9073
```

7.
This record from Alexandria via LeMat-Bulk describes TiBeP after structural relaxation. The functional is PBE-GGA.

Calculated values
ΔE_f ... -0.5204 eV per atom
Raw total energy ... -6.20 eV/atom

```
TiBeP
1.0
9.2893 0.0000 0.0000
0.0000 3.4409 0.0000
0.0000 0.0000 5.1605
Ti Be P
4 4 4
Cartesian
0.5898 0.8602 1.2528
4.0548 2.5807 3.8330
5.2345 0.8602 1.3275
8.6995 2.5807 3.9078
1.3833 0.8602 3.9646
3.2614 2.5807 1.3843
6.0279 0.8602 3.7762
7.9061 2.5807 1.1960
1.6661 2.5807 2.7703
2.9786 0.8602 0.1901
6.3107 2.5807 4.9705
7.6232 0.8602 2.3902
```

8.
This record from Alexandria via LeMat-Bulk describes TiBeP after structural relaxation. The functional is PBE-GGA.

Calculated values
ΔE_f ... -0.6319 eV per atom
Raw total energy ... -6.31 eV/atom

```
TiBeP
1.0
4.3553 -1.7416 0.0000
4.3553 1.7416 0.0000
-1.3480 0.0000 5.0380
Ti Be P
2 2 2
Cartesian
1.1943 0.0000 1.1307
6.1683 0.0000 3.9073
3.6818 0.0000 0.7086
3.6809 0.0000 4.3294
0.0621 0.0000 3.4802
7.3006 0.0000 1.5578
```

9.
This record from Alexandria via LeMat-Bulk describes TiBeP after structural relaxation. The functional is PBE-GGA.

Calculated values
ΔE_f ... -0.6732 eV per atom
Raw total energy ... -6.35 eV/atom

```
TiBeP
1.0
3.5545 0.0000 0.0000
-1.7772 3.0783 0.0000
0.0000 0.0000 3.3074
Ti Be P
1 1 1
Cartesian
0.0000 0.0000 0.0000
1.7772 1.0261 1.6537
0.0000 2.0522 1.6537
```

10.
This record from Alexandria via LeMat-Bulk describes Ti2BeP2 after structural relaxation. The functional is PBE-GGA.

Calculated values
ΔE_f ... -0.7036 eV per atom
Raw total energy ... -6.77 eV/atom

```
Ti2BeP2
1.0
6.2624 0.0000 0.0000
0.0000 6.2624 0.0000
0.0000 0.0000 3.4117
Ti Be P
4 2 4
Cartesian
0.9847 2.1465 0.0000
2.1465 5.2777 0.0000
4.1159 0.9847 0.0000
5.2777 4.1159 0.0000
0.0000 0.0000 1.7059
3.1312 3.1312 1.7059
0.9125 4.0437 1.7059
2.2187 0.9125 1.7059
4.0437 5.3499 1.7059
5.3499 2.2187 1.7059
```

11.
This record from Alexandria via LeMat-Bulk describes UTi2BeP4 after structural relaxation. The functional is PBE-GGA.

Calculated values
ΔE_f ... -0.8002 eV per atom
Raw total energy ... -7.36 eV/atom

```
UTi2BeP4
1.0
1.8178 -5.9595 0.0000
1.8178 5.9595 0.0000
0.0000 0.0000 12.1844
U Ti Be P
2 4 2 8
Cartesian
1.8178 4.5359 9.1383
1.8178 -4.5359 3.0461
1.8178 1.5435 6.7840
1.8178 1.5435 11.4927
1.8178 -1.5435 0.6918
1.8178 -1.5435 5.4005
1.8178 4.2120 3.0461
1.8178 -4.2120 9.1383
0.0000 0.0000 0.0000
0.0000 0.0000 6.0922
1.8178 2.7758 1.4430
1.8178 2.7758 4.6492
1.8178 0.6127 9.1383
1.8178 -0.6127 3.0461
1.8178 -2.7758 7.5352
1.8178 -2.7758 10.7414
```

12.
This record from Alexandria via LeMat-Bulk describes BeTlP4 after structural relaxation. The functional is PBE-GGA.

Calculated values
ΔE_f ... 0.6774 eV per atom
Raw total energy ... -3.94 eV/atom

```
BeTlP4
1.0
0.0000 4.1517 4.1517
4.1517 0.0000 4.1517
4.1517 4.1517 0.0000
Be Tl P
1 1 4
Cartesian
0.0000 0.0000 0.0000
6.2276 6.2276 6.2276
2.8662 2.8662 2.8662
5.4372 5.4372 2.8662
5.4372 2.8662 5.4372
2.8662 5.4372 5.4372
```

What did the third record say?
This record from Alexandria via LeMat-Bulk describes TiBeP after structural relaxation. The functional is PBE-GGA.

Calculated values
ΔE_f ... -0.7061 eV per atom
Raw total energy ... -6.38 eV/atom

```
TiBeP
1.0
4.3360 -1.7382 0.0000
4.3360 1.7382 0.0000
-1.2048 0.0000 4.9721
Ti Be P
2 2 2
Cartesian
0.0000 0.0000 0.0000
4.9279 0.0000 2.7180
2.6818 0.0000 1.1813
7.5611 0.0000 2.3395
2.3757 0.0000 3.3285
6.1511 0.0000 0.3288
```